# 1
Material: Al2CuBr
Method: DFT, PBE
State: optimized geometry

Output
Crystal system = tetragonal
Polymorph energy (0 for the lowest one) = 213 meV/atom
E_form (uncorrected) = 2.5 kcal/mol of atoms
Symmetry = No. 99
Spin magnetization = 0.0 μB per formula unit

abc: 3.214 3.214 7.513
angles: 90.00 90.00 90.01
Atoms (fractional coordinates):
Br 0.000 0.000 0.466
Al 0.000 0.000 0.983
Cu 0.500 0.500 0.828
Al 0.500 0.500 0.224

***

# 2
Material: Al2CuBr
Method: DFT, PBE
State: optimized geometry

Output
Crystal system = orthorhombic
Polymorph energy (0 for the lowest one) = 185 meV/atom
E_form (uncorrected) = 1.9 kcal/mol of atoms
Symmetry = No. 65
Spin magnetization = 0.0 μB per formula unit

abc: 3.184 3.184 7.189
angles: 90.00 90.00 91.92
Atoms (fractional coordinates):
Cu 0.500 0.500 0.750
Al 0.000 0.000 0.548
Al 0.000 0.000 0.952
Br 0.500 0.500 0.250

***

# 3
Material: Al2CuBr
Method: DFT, PBE
State: optimized geometry

Output
Crystal system = tetragonal
Polymorph energy (0 for the lowest one) = 312 meV/atom
E_form (uncorrected) = 4.8 kcal/mol of atoms
Symmetry = No. 122
Spin magnetization = 0.0 μB per formula unit

abc: 6.157 6.157 7.029
angles: 64.02 64.02 90.00
Atoms (fractional coordinates):
Al 0.558 0.125 0.250
Al 0.192 0.625 0.250
Al 0.375 0.442 0.750
Al 0.875 0.808 0.750
Cu 0.500 0.500 0.000
Cu 0.250 0.750 0.500
Br 0.750 0.250 0.500
Br 0.000 0.000 0.000

***

# 4
Material: Al2CuBr
Method: DFT, PBE
State: optimized geometry

Output
Crystal system = cubic
Polymorph energy (0 for the lowest one) = 626 meV/atom
E_form (uncorrected) = 12.1 kcal/mol of atoms
Symmetry = No. 216
Spin magnetization = 0.0 μB per formula unit

abc: 4.840 4.840 4.840
angles: 60.00 60.00 60.00
Atoms (fractional coordinates):
Al 0.000 0.000 0.000
Br 0.500 0.500 0.500
Al 0.250 0.250 0.250
Cu 0.750 0.750 0.750

***

# 5
Material: Al2InCuBr
Method: DFT, PBE
State: optimized geometry

Output
Crystal system = tetragonal
E_form (uncorrected) = 17.3 kcal/mol of atoms
Symmetry = No. 123
Spin magnetization = 0.0 μB per formula unit

abc: 5.443 4.631 5.443
angles: 90.00 90.00 90.00
Atoms (fractional coordinates):
Cu 0.000 0.500 0.000
In 0.500 0.500 0.500
Al 0.500 0.000 0.000
Al 0.000 0.000 0.500
Br 0.000 0.000 0.000

***

# 6
Material: AlCuBr2N
Method: DFT, PBE
State: optimized geometry

Output
Crystal system = tetragonal
E_form (uncorrected) = 29.7 kcal/mol of atoms
Symmetry = No. 123
Spin magnetization = 0.6 μB per formula unit

abc: 4.845 5.078 4.845
angles: 90.00 90.00 90.00
Site moments in Bohr magnetons follow the coordinates.
Atoms (fractional coordinates):
N 0.500 0.500 0.500  -0.42
Br 0.500 0.000 0.000  0.01
Al 0.000 0.500 0.000  0.00
Br 0.000 0.000 0.500  -0.01
Cu 0.000 0.000 0.000  0.00

***

# 7
Material: AlCuBrN2
Method: DFT, PBE
State: optimized geometry

Output
Crystal system = tetragonal
E_form (uncorrected) = 47.6 kcal/mol of atoms
Symmetry = No. 123
Spin magnetization = 0.0 μB per formula unit

abc: 4.152 4.453 4.152
angles: 90.00 90.00 90.00
Atoms (fractional coordinates):
Al 0.500 0.500 0.500
N 0.000 0.000 0.500
Br 0.000 0.000 0.000
Cu 0.000 0.500 0.000
N 0.500 0.000 0.000

***

# 8
Material: Rb2AlCuBr6
Method: DFT, PBE
State: optimized geometry

Output
Crystal system = tetragonal
E_form (uncorrected) = -26.4 kcal/mol of atoms
Symmetry = No. 139
Spin magnetization = 0.0 μB per formula unit

abc: 7.869 7.869 7.546
angles: 58.57 58.57 90.00
Atoms (fractional coordinates):
Rb 0.250 0.750 0.500
Al 0.500 0.500 0.000
Br 0.228 0.228 0.543
Rb 0.750 0.250 0.500
Br 0.722 0.278 0.000
Br 0.772 0.772 0.457
Cu 0.000 0.000 0.000
Br 0.278 0.278 0.000
Br 0.278 0.722 0.000
Br 0.722 0.722 0.000